Here is BaTlCuAu2 after structural relaxation from the Alexandria database. Energies are from GGA-PBE.

The structure in POSCAR format:
```
BaTlCuAu2
1.0
-1.486 3.354 3.612
-3.783 -3.194 1.409
3.084 -2.194 3.306
Ba Tl Cu Au
1 1 1 2
Cartesian
-1.093 -1.017 4.164
1.542 -1.097 1.653
0.000 0.000 0.000
-0.743 1.677 1.806
-1.892 -1.597 0.705
```

The calculation puts the total moment at 0.00 μB per cell. As for the formation enthalpy at 0 K: -233 meV/atom.

***

Here is BaTl2CuAu after structural relaxation from the Alexandria database. Energies are from GGA-PBE.

The structure in POSCAR format:
```
BaTl2CuAu
1.0
5.542 0.000 0.000
0.000 5.116 0.000
0.000 0.000 5.542
Tl Ba Au Cu
2 1 1 1
Cartesian
2.771 0.000 0.000
0.000 0.000 2.771
2.771 2.558 2.771
0.000 0.000 0.000
0.000 2.558 0.000
```

The calculation puts the total moment at 0.00 μB per cell. For the relative energy among the computed polymorphs, the calculation gives 16.0 kJ/mol of atoms. As for the formation enthalpy at 0 K: 22 meV/atom.

***

Here is Ba2Zn6CuAu after structural relaxation from the Alexandria database. Energies are from GGA-PBE.

The structure in POSCAR format:
```
Ba2Zn6CuAu
1.0
6.979 -0.006 0.003
-0.006 6.979 0.003
3.489 3.489 4.927
Ba Zn Cu Au
2 6 1 1
Cartesian
3.484 6.978 2.467
6.978 3.484 2.466
5.174 5.173 4.927
3.488 3.488 2.547
1.682 5.292 0.003
6.974 6.974 2.386
5.288 5.288 0.006
5.291 1.680 0.003
0.000 0.000 0.000
3.486 3.486 0.003
```

The calculation puts the total moment at 0.00 μB per cell. As for the formation enthalpy at 0 K: -163 meV/atom.